No. 1
Compound: AgTeNO
Source: OQMD via LeMat-Bulk
Functional: GGA-PBE
Structure: optimized geometry

The space group is Pca2_1 (No. 29) and the conventional cell measures 7.1254, 7.0128 and 5.4978 Å, with angles of 90.00, 90.00 and 90.00 degrees. The distinct sites, in fractional coordinates, are Ag at (0.1627, 0.0978, 0.0000), Te at (0.1049, 0.6583, 0.9905), N at (0.0420, 0.1390, 0.6119) and O at (0.0491, 0.4211, 0.1967).

For the excess energy over the best structure of this formula in the dataset, the calculation gives 108 meV per atom. As for the total energy: -4.543 eV per atom.

No. 2
Compound: TcAuNO
Source: OQMD via LeMat-Bulk
Functional: GGA-PBE
Structure: optimized geometry

The space group is Pmc2_1 (No. 26) and the conventional cell measures 2.9036, 6.0479 and 6.1453 Å, with angles of 90.00, 90.00 and 90.00 degrees. The distinct sites, in fractional coordinates, are Tc at (0.0000, 0.1204, 0.0000), Au at (0.5000, 0.2936, 0.4502), N at (0.0000, 0.1139, 0.6984) and O at (0.5000, 0.3437, 0.0641).

For the excess energy over the best structure of this formula in the dataset, the calculation gives 141 meV per atom. As for the total energy: -6.684 eV per atom.

No. 3
Compound: BaHoNO
Source: OQMD via LeMat-Bulk
Functional: GGA-PBE
Structure: optimized geometry

The space group is P4/nmm (No. 129, origin choice 2) and the conventional cell measures 4.7108, 4.7108 and 8.1939 Å, with angles of 90.00, 90.00 and 90.00 degrees. The distinct sites, in fractional coordinates, are Ba at (0.2500, 0.2500, 0.1085), Ho at (0.2500, 0.7500, 0.5000), N at (0.2500, 0.2500, 0.4735) and O at (0.2500, 0.7500, 0.0000).

For the excess energy over the best structure of this formula in the dataset, the calculation gives 414 meV per atom. As for the total energy: -6.532 eV per atom.

No. 4
Compound: TbTlZnTe3
Source: OQMD via LeMat-Bulk
Functional: GGA-PBE
Structure: optimized geometry

The space group is Pnma (No. 62) and the conventional cell measures 11.6304, 4.3667 and 15.5814 Å, with angles of 90.00, 90.00 and 90.00 degrees. The distinct sites, in fractional coordinates, are Tb at (0.0137, 0.2500, 0.2469), Tl at (0.2300, 0.7500, 0.5071), Zn at (0.2394, 0.2500, 0.7162), Te at (0.0490, 0.2500, 0.6193), Te at (0.0765, 0.7500, 0.1143) and Te at (0.2379, 0.7500, 0.8240).

For the excess energy over the best structure of this formula in the dataset, the calculation gives 0 meV per atom. As for the total energy: -3.788 eV per atom.

No. 5
Compound: AgIrO3
Source: OQMD via LeMat-Bulk
Functional: GGA-PBE
Structure: optimized geometry

The space group is R-3c (No. 167, hexagonal axes) and the conventional cell measures 5.4929, 5.4929 and 12.9884 Å, with angles of 90.00, 90.00 and 120.00 degrees. The distinct sites, in fractional coordinates, are Ag at (0.0000, 0.0000, 0.2500), Ir at (0.0000, 0.0000, 0.0000) and O at (0.0000, 0.4021, 0.2500).

As for the total energy: -5.640 eV per atom.

No. 6
Compound: MgBeZnGa
Source: OQMD via LeMat-Bulk
Functional: GGA-PBE
Structure: optimized geometry

The space group is F-43m (No. 216) and the conventional cell measures 6.2436, 6.2436 and 6.2436 Å, with angles of 90.00, 90.00 and 90.00 degrees. The distinct sites, in fractional coordinates, are Mg at (0.0000, 0.0000, 0.0000), Be at (0.2500, 0.2500, 0.7500), Zn at (0.2500, 0.2500, 0.2500) and Ga at (0.0000, 0.0000, 0.5000).

For the excess energy over the best structure of this formula in the dataset, the calculation gives 33 meV per atom. As for the total energy: -2.156 eV per atom.

No. 7
Compound: ZrInSiS3
Source: OQMD via LeMat-Bulk
Functional: GGA-PBE
Structure: optimized geometry

The space group is Cmcm (No. 63) and the conventional cell measures 4.2245, 12.9415 and 9.9940 Å, with angles of 90.00, 90.00 and 90.00 degrees. The distinct sites, in fractional coordinates, are Zr at (0.0000, 0.0000, 0.0000), In at (0.0000, 0.2802, 0.2500), Si at (0.0000, 0.4706, 0.7500), S at (0.0000, 0.0395, 0.7500) and S at (0.0000, 0.3727, 0.5657).

As for the total energy: -5.353 eV per atom.

No. 8
Compound: InCoNiAu
Source: OQMD via LeMat-Bulk
Functional: GGA-PBE
Structure: optimized geometry

The space group is F-43m (No. 216) and the conventional cell measures 6.1993, 6.1993 and 6.1993 Å, with angles of 90.00, 90.00 and 90.00 degrees. The distinct sites, in fractional coordinates, are In at (0.0000, 0.0000, 0.0000), Co at (0.2500, 0.2500, 0.2500), Ni at (0.2500, 0.2500, 0.7500) and Au at (0.0000, 0.0000, 0.5000).

For the excess energy over the best structure of this formula in the dataset, the calculation gives 0 meV per atom. As for the total energy: -4.601 eV per atom.

No. 9
Compound: Dy2As
Source: OQMD via LeMat-Bulk
Functional: GGA-PBE
Structure: optimized geometry

The space group is Fd-3m (No. 227, origin choice 2) and the conventional cell measures 12.5156, 12.5156 and 12.5156 Å, with angles of 90.00, 90.00 and 90.00 degrees. The distinct sites, in fractional coordinates, are Dy at (0.0000, 0.0000, 0.0000) and As at (0.1250, 0.1250, 0.1250).

As for the total energy: -3.953 eV per atom.

No. 10
Compound: Nd2Sm2C2I2Br2Cl
Source: OQMD via LeMat-Bulk
Functional: GGA-PBE
Structure: optimized geometry

The space group is C2/m (No. 12) and the conventional cell measures 20.0014, 3.9356 and 8.1991 Å, with angles of 90.00, 103.59 and 90.00 degrees. The distinct sites, in fractional coordinates, are Nd at (0.0010, 0.0000, 0.2073), Sm at (0.1506, 0.5000, 0.0981), C at (0.0360, 0.5000, 0.0225), I at (0.1682, 0.0000, 0.8128), Br at (0.1577, 0.0000, 0.3634) and Cl at (0.0000, 0.5000, 0.5000).

For the excess energy over the best structure of this formula in the dataset, the calculation gives 0 meV per atom. As for the total energy: -5.447 eV per atom.

No. 11
Compound: TmFeNi
Source: OQMD via LeMat-Bulk
Functional: GGA-PBE
Structure: optimized geometry

The space group is F-43m (No. 216) and the conventional cell measures 6.0183, 6.0183 and 6.0183 Å, with angles of 90.00, 90.00 and 90.00 degrees. The distinct sites, in fractional coordinates, are Tm at (0.0000, 0.0000, 0.0000), Fe at (0.0000, 0.0000, 0.5000) and Ni at (0.2500, 0.2500, 0.7500).

As for the total energy: -5.974 eV per atom.

No. 12
Compound: YNiPd2
Source: OQMD via LeMat-Bulk
Functional: GGA-PBE
Structure: optimized geometry

The space group is F-43m (No. 216) and the conventional cell measures 6.5032, 6.5032 and 6.5032 Å, with angles of 90.00, 90.00 and 90.00 degrees. The distinct sites, in fractional coordinates, are Y at (0.0000, 0.0000, 0.0000), Ni at (0.2500, 0.2500, 0.7500), Pd at (0.0000, 0.0000, 0.5000) and Pd at (0.2500, 0.2500, 0.2500).

As for the total energy: -6.078 eV per atom.